A relaxed Sc4Ga3Hg crystal. Source: the Alexandria database, functional PBE.

size of the total moment = 0.0 Bohr magnetons per cell
D(E_F) = 4.4 states/eV/cell
energy above the most stable polymorph in this dataset = 0 meV per atom
calculated formation energy = -0.552 eV per atom

Lattice parameters (Å, degrees): 3.368 3.368 13.862 90.00 90.00 90.00
Space group P4/mmm (No. 123)
Unique sites:
Sc: 0.000 0.000 0.120 (multiplicity 2)
Sc: 0.000 0.000 0.361 (multiplicity 2)
Ga: 0.500 0.500 0.000 (multiplicity 1)
Ga: 0.500 0.500 0.242 (multiplicity 2)
Hg: 0.500 0.500 0.500 (multiplicity 1)